A geometry-optimized TlAs2N structure, computed with PBE-GGA.

Geometry as CIF:
```
data_TlAs2N
_chemical_formula_sum 'Tl1 As2 N1'
_cell_length_a 4.722
_cell_length_b 4.722
_cell_length_c 4.722
_cell_angle_alpha 60.00
_cell_angle_beta 60.00
_cell_angle_gamma 60.00
_space_group_name_H-M_alt 'P 1'
_space_group_IT_number 1
_space_group_name_Hall 'P 1'
loop_
_atom_site_label
_atom_site_type_symbol
_atom_site_fract_x
_atom_site_fract_y
_atom_site_fract_z
_atom_site_occupancy
Tl1 Tl 0.000 0.000 0.000 1
As1 As 0.250 0.250 0.250 1
As2 As 0.750 0.750 0.750 1
N1 N 0.500 0.500 0.500 1
```

- formation energy without anion corrections (eV/atom) = 1.44
- uncorrected energy (eV/cell) = -14.2
- magnetic moment (μB per cell) = 1.15
- offset from the most stable computed form (meV per atom) = 787
- SG = No. 225